# 1
DFT (meta-GGA SCAN) results for a PBEsol-optimized structure of TbOs2.

abc: 5.2509 5.2509 8.8314
angles: 90.00 90.00 120.00
Closest atoms and distances in Å follow each position.
Positions (direct):
Tb 0.3333 0.6667 0.4349  12 Os 3.09-3.15, 4 Tb 3.24-3.27
Tb 0.6667 0.3333 0.5651  12 Os 3.09-3.15, 4 Tb 3.24-3.27
Tb 0.6667 0.3333 0.9349  12 Os 3.09-3.15, 4 Tb 3.24-3.27
Tb 0.3333 0.6667 0.0651  12 Os 3.09-3.15, 4 Tb 3.24-3.27
Os 0.1708 0.3416 0.7500  6 Os 2.56-2.70
Os 0.1708 0.8292 0.7500  6 Os 2.56-2.70
Os 0.3416 0.1708 0.2500  6 Os 2.56-2.70
Os 0.8292 0.6584 0.2500  6 Os 2.56-2.70
Os 0.6584 0.8292 0.7500  6 Os 2.56-2.70
Os 0.0000 0.0000 0.0000  6 Os 2.70
Os 0.8292 0.1708 0.2500  6 Os 2.56-2.70
Os 0.0000 0.0000 0.5000  6 Os 2.70

Output
The crystal system is hexagonal. The calculation puts the energy relative to the elements at -1.28 eV per formula unit. As for the calculated density: 16990 kg/m³.



# 2
DFT (meta-GGA SCAN) results for a PBEsol-optimized structure of Tb3Os.

abc: 6.2347 7.3083 8.9805
angles: 90.00 90.00 90.00
Closest atoms and distances in Å follow each position.
Positions (direct):
Tb 0.3332 0.6760 0.0627  3 Os 2.83-3.13
Tb 0.1668 0.1760 0.4373  3 Os 2.83-3.13
Tb 0.6668 0.3240 0.5627  3 Os 2.83-3.13
Tb 0.8332 0.8240 0.9373  3 Os 2.83-3.13
Tb 0.6668 0.3240 0.9373  3 Os 2.83-3.13
Tb 0.8332 0.8240 0.5627  3 Os 2.83-3.13
Tb 0.3332 0.6760 0.4373  3 Os 2.83-3.13
Tb 0.1668 0.1760 0.0627  3 Os 2.83-3.13
Tb 0.8704 0.5385 0.2500  2 Os 2.74-2.82
Tb 0.6296 0.0385 0.2500  2 Os 2.74-2.82
Tb 0.1296 0.4615 0.7500  2 Os 2.74-2.82
Tb 0.3704 0.9615 0.7500  2 Os 2.74-2.82
Os 0.0431 0.8838 0.2500  6 Tb 2.74-2.90
Os 0.4569 0.3838 0.2500  6 Tb 2.74-2.90
Os 0.9569 0.1162 0.7500  6 Tb 2.74-2.90
Os 0.5431 0.6162 0.7500  6 Tb 2.74-2.90

Output
The crystal system is orthorhombic. The calculation puts the energy relative to the elements at -1.39 eV per formula unit. As for the calculated density: 10827 kg/m³.



# 3
DFT (meta-GGA SCAN) results for a PBEsol-optimized structure of Tc3Os.

abc: 4.7120 5.4290 13.1094
angles: 90.00 90.00 90.00
Closest atoms and distances in Å follow each position.
Positions (direct):
Os 0.5018 0.5000 0.5000  12 Tc 2.67-2.73
Os 0.8327 0.5000 0.1653  12 Tc 2.67-2.73
Os 0.8327 0.5000 0.8347  12 Tc 2.67-2.73
Os 0.4982 0.0000 0.0000  12 Tc 2.67-2.73
Os 0.1673 0.0000 0.6653  12 Tc 2.67-2.73
Os 0.1673 0.0000 0.3347  12 Tc 2.67-2.73
Tc 0.3347 0.7486 0.1659  8 Tc 2.68-2.73, 4 Os 2.68-2.72
Tc 0.3347 0.7486 0.8341  8 Tc 2.68-2.73, 4 Os 2.68-2.72
Tc 0.9977 0.7493 0.5000  8 Tc 2.67-2.73, 4 Os 2.68-2.73
Tc 0.0023 0.7507 0.0000  8 Tc 2.67-2.73, 4 Os 2.68-2.73
Tc 0.6653 0.7514 0.6659  8 Tc 2.68-2.73, 4 Os 2.68-2.72
Tc 0.6653 0.7514 0.3341  8 Tc 2.68-2.73, 4 Os 2.68-2.72
Tc 0.5007 0.5000 0.0000  4 Os 2.67-2.71, 8 Tc 2.68-2.73
Tc 0.1669 0.5000 0.6644  8 Tc 2.67-2.73, 4 Os 2.67-2.73
Tc 0.1669 0.5000 0.3356  8 Tc 2.67-2.73, 4 Os 2.67-2.73
Tc 0.3347 0.2514 0.1659  8 Tc 2.68-2.73, 4 Os 2.68-2.72
Tc 0.3347 0.2514 0.8341  8 Tc 2.68-2.73, 4 Os 2.68-2.72
Tc 0.9977 0.2507 0.5000  8 Tc 2.67-2.73, 4 Os 2.68-2.73
Tc 0.0023 0.2493 0.0000  8 Tc 2.67-2.73, 4 Os 2.68-2.73
Tc 0.6653 0.2486 0.6659  8 Tc 2.68-2.73, 4 Os 2.68-2.72
Tc 0.6653 0.2486 0.3341  8 Tc 2.68-2.73, 4 Os 2.68-2.72
Tc 0.4993 0.0000 0.5000  4 Os 2.67-2.71, 8 Tc 2.68-2.73
Tc 0.8331 0.0000 0.1644  8 Tc 2.67-2.73, 4 Os 2.67-2.73
Tc 0.8331 0.0000 0.8356  8 Tc 2.67-2.73, 4 Os 2.67-2.73

Output
The crystal system is orthorhombic. The calculation puts the energy relative to the elements at -0.06 eV per formula unit. As for the calculated density: 14386 kg/m³. Its offset from the most stable computed form is 1.54 kcal/mol of atoms.